--- P ---
First-principles (PBE) data for an optimized crystal structure of LaReOs2, as listed in Alexandria.

Cell: 4.877 4.877 3.014 Å, 90.00 90.00 90.00°
Space group P4/mmm (No. 123)
Unique sites:
1 La 0.000 0.000 0.000 x1
2 Re 0.500 0.500 0.000 x1
3 Os 0.000 0.500 0.500 x2

Properties
**Magnetic moment**: 0.0 μB per cell



--- Q ---
First-principles (PBE) data for an optimized crystal structure of LaReOs2, as listed in Alexandria.

Cell: 2.950 4.796 9.828 Å, 90.00 90.00 90.00°
Space group Cmm2 (No. 35)
Unique sites:
1 La 0.000 0.000 0.000 x2
2 Re 0.000 0.500 0.716 x2
3 Os 0.000 0.000 0.495 x2
4 Os 0.000 0.500 0.269 x2

Properties
**Magnetic moment**: 0.0 μB per cell



Most stable structure: P